# 1
Here is a relaxed structure of LuNbCoOs from the Alexandria database. Energies are from PBE-GGA.

- DFT formation energy (eV/atom) = -0.208
- uncorrected energy (eV/atom) = -8.439
- symmetry = F-43m

Cell lengths 4.552, 4.552, 4.552 Å; angles 60.00, 60.00, 60.00 degrees
Sites, in units of the cell vectors:
1 Co 0.750 0.750 0.750
2 Nb 0.500 0.500 0.500
3 Lu 0.000 0.000 0.000
4 Os 0.250 0.250 0.250

---

# 2
Here is a relaxed structure of LuNbCoRh from the Alexandria database. Energies are from PBE-GGA.

- DFT formation energy (eV/atom) = -0.309
- uncorrected energy (eV/atom) = -7.571
- symmetry = F-43m

Cell lengths 4.562, 4.562, 4.562 Å; angles 60.00, 60.00, 60.00 degrees
Sites, in units of the cell vectors:
1 Co 0.500 0.500 0.500
2 Nb 0.750 0.750 0.750
3 Lu 0.250 0.250 0.250
4 Rh 0.000 0.000 0.000

---

# 3
Here is a relaxed structure of Nd2LuCo from the Alexandria database. Energies are from PBE-GGA.

- ΔE to the lowest computed polymorph (eV/f.u.) = 0.69
- DFT formation energy (eV/atom) = 0.257
- uncorrected energy (eV/atom) = -5.034
- symmetry = R-3m

Cell lengths 3.627, 3.627, 10.639 Å; angles 80.19, 80.19, 60.00 degrees
Sites, in units of the cell vectors:
1 Co 0.500 0.500 0.500
2 Lu 0.000 0.000 0.000
3 Nd 0.111 0.111 0.667
4 Nd 0.889 0.889 0.333

---

# 4
Here is a relaxed structure of NdLu2Co from the Alexandria database. Energies are from PBE-GGA.

- ΔE to the lowest computed polymorph (eV/f.u.) = 0.00
- DFT formation energy (eV/atom) = -0.129
- uncorrected energy (eV/atom) = -5.358
- symmetry = P4/mmm

Cell lengths 3.352, 3.352, 8.789 Å; angles 90.00, 90.00, 90.00 degrees
Sites, in units of the cell vectors:
1 Co 0.500 0.500 0.000
2 Lu 0.000 0.000 0.822
3 Lu 0.000 0.000 0.178
4 Nd 0.500 0.500 0.500

---

# 5
Here is a relaxed structure of NdLu2Co from the Alexandria database. Energies are from PBE-GGA.

- ΔE to the lowest computed polymorph (eV/f.u.) = 0.40
- DFT formation energy (eV/atom) = -0.029
- uncorrected energy (eV/atom) = -5.258
- symmetry = R-3m

Cell lengths 3.686, 3.686, 9.380 Å; angles 78.67, 78.67, 60.00 degrees
Sites, in units of the cell vectors:
1 Co 0.000 0.000 0.000
2 Lu 0.279 0.279 0.164
3 Lu 0.721 0.721 0.836
4 Nd 0.500 0.500 0.500

---

# 6
Here is a relaxed structure of NdLuCo4 from the Alexandria database. Energies are from PBE-GGA.

- DFT formation energy (eV/atom) = -0.149
- uncorrected energy (eV/atom) = -6.435
- symmetry = F-43m

Cell lengths 5.092, 5.092, 5.092 Å; angles 60.00, 60.00, 60.00 degrees
Sites, in units of the cell vectors:
1 Co 0.626 0.626 0.123
2 Co 0.626 0.123 0.626
3 Co 0.626 0.626 0.626
4 Co 0.123 0.626 0.626
5 Lu 0.000 0.000 0.000
6 Nd 0.250 0.250 0.250

---

# 7
Here is a relaxed structure of Nd2LuCo from the Alexandria database. Energies are from PBE-GGA.

- ΔE to the lowest computed polymorph (eV/f.u.) = 0.00
- DFT formation energy (eV/atom) = 0.084
- uncorrected energy (eV/atom) = -5.207
- symmetry = P4/mmm

Cell lengths 3.533, 3.533, 8.689 Å; angles 90.00, 90.00, 90.00 degrees
Sites, in units of the cell vectors:
1 Co 0.500 0.500 0.000
2 Lu 0.500 0.500 0.500
3 Nd 0.000 0.000 0.804
4 Nd 0.000 0.000 0.196

---

# 8
Here is a relaxed structure of NdLuCoPd from the Alexandria database. Energies are from PBE-GGA.

- DFT formation energy (eV/atom) = -0.424
- uncorrected energy (eV/atom) = -5.821
- symmetry = F-43m

Cell lengths 4.888, 4.888, 4.888 Å; angles 60.00, 60.00, 60.00 degrees
Sites, in units of the cell vectors:
1 Co 0.500 0.500 0.500
2 Lu 0.250 0.250 0.250
3 Nd 0.750 0.750 0.750
4 Pd 0.000 0.000 0.000

---

# 9
Here is a relaxed structure of NdLuZnCo from the Alexandria database. Energies are from PBE-GGA.

- DFT formation energy (eV/atom) = -0.181
- uncorrected energy (eV/atom) = -4.598
- symmetry = F-43m

Cell lengths 4.909, 4.909, 4.909 Å; angles 60.00, 60.00, 60.00 degrees
Sites, in units of the cell vectors:
1 Co 0.500 0.500 0.500
2 Zn 0.000 0.000 0.000
3 Lu 0.750 0.750 0.750
4 Nd 0.250 0.250 0.250

---

# 10
Here is a relaxed structure of LuCoNi2 from the Alexandria database. Energies are from PBE-GGA.

- DFT formation energy (eV/atom) = -0.201
- uncorrected energy (eV/atom) = -5.999
- symmetry = P4/mmm

Cell lengths 3.769, 3.822, 3.822 Å; angles 90.00, 90.00, 90.00 degrees
Sites, in units of the cell vectors:
1 Ni 0.000 0.000 0.500
2 Ni 0.000 0.500 0.000
3 Lu 0.500 0.000 0.000
4 Co 0.500 0.500 0.500

---

# 11
Here is a relaxed structure of LuCoNi from the Alexandria database. Energies are from PBE-GGA.

- DFT formation energy (eV/atom) = -0.288
- uncorrected energy (eV/atom) = -6.091
- symmetry = P-6m2

Cell lengths 3.691, 3.896, 3.896 Å; angles 120.00, 90.00, 90.00 degrees
Sites, in units of the cell vectors:
1 Ni 0.167 0.000 0.000
2 Lu 0.667 0.667 0.333
3 Co 0.167 0.333 0.667

---

# 12
Here is a relaxed structure of LuPaCoNi from the Alexandria database. Energies are from PBE-GGA.

- DFT formation energy (eV/atom) = -0.248
- uncorrected energy (eV/atom) = -6.974
- symmetry = F-43m

Cell lengths 4.691, 4.691, 4.691 Å; angles 60.00, 60.00, 60.00 degrees
Sites, in units of the cell vectors:
1 Ni 0.250 0.250 0.250
2 Pa 0.000 0.000 0.000
3 Lu 0.500 0.500 0.500
4 Co 0.750 0.750 0.750

---

# 13
Here is a relaxed structure of LuPuCoNi from the Alexandria database. Energies are from PBE-GGA.

- DFT formation energy (eV/atom) = -0.133
- uncorrected energy (eV/atom) = -8.068
- symmetry = F-43m

Cell lengths 4.680, 4.680, 4.680 Å; angles 60.00, 60.00, 60.00 degrees
Sites, in units of the cell vectors:
1 Ni 0.000 0.000 0.000
2 Lu 0.250 0.250 0.250
3 Co 0.500 0.500 0.500
4 Pu 0.750 0.750 0.750

---

# 14
Here is a relaxed structure of LuScCoNi from the Alexandria database. Energies are from PBE-GGA.

- DFT formation energy (eV/atom) = -0.387
- uncorrected energy (eV/atom) = -6.322
- symmetry = F-43m

Cell lengths 4.544, 4.544, 4.544 Å; angles 60.00, 60.00, 60.00 degrees
Sites, in units of the cell vectors:
1 Sc 0.500 0.500 0.500
2 Ni 0.250 0.250 0.250
3 Lu 0.000 0.000 0.000
4 Co 0.750 0.750 0.750

---

# 15
Here is a relaxed structure of TmLuCoNi from the Alexandria database. Energies are from PBE-GGA.

- DFT formation energy (eV/atom) = -0.352
- uncorrected energy (eV/atom) = -5.822
- symmetry = F-43m

Cell lengths 4.653, 4.653, 4.653 Å; angles 60.00, 60.00, 60.00 degrees
Sites, in units of the cell vectors:
1 Ni 0.500 0.500 0.500
2 Lu 0.750 0.750 0.750
3 Tm 0.250 0.250 0.250
4 Co 0.000 0.000 0.000

---

# 16
Here is a relaxed structure of YLuCoNi from the Alexandria database. Energies are from PBE-GGA.

- DFT formation energy (eV/atom) = -0.296
- uncorrected energy (eV/atom) = -6.264
- symmetry = F-43m

Cell lengths 4.700, 4.700, 4.700 Å; angles 60.00, 60.00, 60.00 degrees
Sites, in units of the cell vectors:
1 Y 0.750 0.750 0.750
2 Ni 0.000 0.000 0.000
3 Lu 0.250 0.250 0.250
4 Co 0.500 0.500 0.500

---

# 17
Here is a relaxed structure of LuZrCoNi from the Alexandria database. Energies are from PBE-GGA.

- DFT formation energy (eV/atom) = -0.335
- uncorrected energy (eV/atom) = -6.824
- symmetry = F-43m

Cell lengths 4.583, 4.583, 4.583 Å; angles 60.00, 60.00, 60.00 degrees
Sites, in units of the cell vectors:
1 Ni 0.250 0.250 0.250
2 Lu 0.000 0.000 0.000
3 Co 0.750 0.750 0.750
4 Zr 0.500 0.500 0.500